Density functional theory data (PBE-GGA) for crystalline Rb2TlSbTe at its relaxed geometry.

Cell and atoms, written as POSCAR:
```
Rb2TlSbTe
1.0
-6.353 2.186 -1.591
-1.819 -1.130 5.712
1.753 6.423 1.829
Rb Sb Te Tl
2 1 1 1
Cartesian
0.876 3.211 0.915
-3.176 1.093 -0.795
-3.210 3.739 2.975
0.000 0.000 0.000
-0.910 -0.565 2.856
```

## Properties
- Crystal system: tetragonal
- Energy relative to the elements, uncorrected: -90 meV per atom
- Raw total energy: -2.40 eV/atom
- Space group: P4/mmm, No. 123